P:
A plane-wave DFT calculation with meta-GGA SCAN was carried out for a PBEsol-optimized structure of TiBW3.

## Properties
Density: 11.367 Mg/m³
Fermi-level density of states: 3.44 states/eV/cell

```
TiBW3
1.0
4.467 0.000 0.000
0.000 4.467 0.000
0.000 0.000 4.467
Ti B W
1 1 3
direct
0.000 0.000 0.000
0.500 0.500 0.500
0.000 0.000 0.500
0.000 0.500 0.000
0.500 0.000 0.000
```



Q:
A plane-wave DFT calculation with meta-GGA SCAN was carried out for a PBEsol-optimized structure of TiBW3.

## Properties
Density: 13.767 Mg/m³
Fermi-level density of states: 3.29 states/eV/cell

```
TiBW3
1.0
4.191 0.000 0.000
0.000 4.191 0.000
0.000 0.000 4.191
Ti B W
1 1 3
direct
0.000 0.000 0.000
0.500 0.500 0.500
0.000 0.500 0.500
0.500 0.000 0.500
0.500 0.500 0.000
```



Q is the most stable structure; the next one sits 2674 meV/atom above it.



P:
A plane-wave DFT calculation with meta-GGA SCAN was carried out for a PBEsol-optimized structure of Ba.

## Properties
Density: 3.914 Mg/m³
Fermi-level density of states: 2.83 states/eV/cell

```
Ba
1.0
0.000 3.864 7.226
2.087 0.000 7.226
2.087 3.864 0.000
Ba
2
direct
0.125 0.125 0.125
0.875 0.875 0.875
```



Q:
A plane-wave DFT calculation with meta-GGA SCAN was carried out for a PBEsol-optimized structure of Ba.

## Properties
Density: 3.916 Mg/m³
Fermi-level density of states: 1.24 states/eV/cell

```
Ba
1.0
-2.442 2.442 2.442
2.442 -2.442 2.442
2.442 2.442 -2.442
Ba
1
direct
0.000 0.000 0.000
```



Q is the most stable structure; the next one sits 46 meV/atom above it.



P:
A plane-wave DFT calculation with meta-GGA SCAN was carried out for a PBEsol-optimized structure of Ba5Be.

## Properties
Density: 4.147 Mg/m³
Fermi-level density of states: 5.81 states/eV/cell

```
Ba5Be
1.0
2.260 -9.730 0.000
2.260 9.730 0.000
0.000 0.000 6.333
Ba Be
5 1
direct
0.000 0.000 0.000
0.132 0.868 0.500
0.329 0.671 0.000
0.671 0.329 0.000
0.868 0.132 0.500
0.500 0.500 0.500
```



Q:
A plane-wave DFT calculation with meta-GGA SCAN was carried out for a PBEsol-optimized structure of Ba5Be.

## Properties
Density: 4.037 Mg/m³
Fermi-level density of states: 6.63 states/eV/cell

```
Ba5Be
1.0
4.094 0.000 0.000
0.000 4.094 0.000
0.000 0.000 17.073
Ba Be
5 1
direct
0.000 0.000 0.000
0.000 0.000 0.395
0.000 0.000 0.605
0.500 0.500 0.194
0.500 0.500 0.806
0.500 0.500 0.500
```



Q is the most stable structure; the next one sits 117 meV/atom above it.